! Mg2GeIr2 (PBE, relaxed); values from VASP
! ΔE to the lowest computed polymorph ... 41 meV per atom
! VASP energy ... -0.4035 Ry/atom
&SYSTEM
  ibrav = 0, nat = 10, ntyp = 3
/
ATOMIC_SPECIES
Ge 72.64 Ge.upf
Ir 192.22 Ir.upf
Mg 24.30 Mg.upf
ATOMIC_POSITIONS crystal
Ge 0.5000 0.5000 0.0000
Ge 0.0000 0.0000 0.0000
Ir 0.6453 0.1453 0.0000
Ir 0.3547 0.8547 0.0000
Ir 0.8547 0.6453 0.0000
Ir 0.1453 0.3547 0.0000
Mg 0.3368 0.1632 0.5000
Mg 0.1632 0.6632 0.5000
Mg 0.6632 0.8368 0.5000
Mg 0.8368 0.3368 0.5000
CELL_PARAMETERS angstrom
-4.2261 -1.2490 -4.5172
0.9258 -6.1851 0.8440
-3.1441 -0.0667 2.9600